Record 1
VASP calculation (PBE) on a relaxed structure of Mn3GaTc.

Output
E_form (eV per atom): 1.61

Cell: 4.212 4.212 4.212 Å, 90.00 90.00 90.00°
Space group Pm-3m (No. 221)
Symmetry-distinct sites (fractional):
Mn: 0.000 0.000 0.500 [3 per cell]
Ga: 0.000 0.000 0.000 [1 per cell]
Tc: 0.500 0.500 0.500 [1 per cell]

Record 2
VASP calculation (PBE) on a relaxed structure of Tb2Dy7Sc2.

Output
Offset from the most stable computed form (kcal/mol of atoms): 0.00
E_form (eV per atom): 0.11

Cell: 8.937 9.322 8.388 Å, 90.00 102.90 90.00°
Space group C2/m (No. 12)
Symmetry-distinct sites (fractional):
Tb: 0.000 0.180 0.000 [4 per cell]
Dy: 0.000 0.500 0.500 [2 per cell]
Dy: 0.159 0.500 0.913 [4 per cell]
Dy: 0.222 0.185 0.695 [8 per cell]
Sc: 0.108 0.000 0.350 [4 per cell]

Record 3
VASP calculation (PBE) on a relaxed structure of BeCrB3.

Output
Offset from the most stable computed form (kcal/mol of atoms): 0.00
E_form (eV per atom): 1.30

Cell: 3.497 3.497 3.497 Å, 90.00 90.00 90.00°
Space group Pm-3m (No. 221)
Symmetry-distinct sites (fractional):
Be: 0.000 0.000 0.000 [1 per cell]
Cr: 0.500 0.500 0.500 [1 per cell]
B: 0.000 0.000 0.500 [3 per cell]

Record 4
VASP calculation (PBE) on a relaxed structure of Cd2CuRu.

Output
Offset from the most stable computed form (kcal/mol of atoms): 1.42
E_form (eV per atom): 0.27

Cell: 2.978 2.978 7.560 Å, 90.00 90.00 90.00°
Space group P4/mmm (No. 123)
Symmetry-distinct sites (fractional):
Cd: 0.000 0.000 0.242 [2 per cell]
Cu: 0.500 0.500 0.000 [1 per cell]
Ru: 0.500 0.500 0.500 [1 per cell]

Record 5
VASP calculation (PBE) on a relaxed structure of TaZn2As.

Output
E_form (eV per atom): -0.04

Cell: 3.871 3.871 8.431 Å, 90.00 90.00 90.00°
Space group I-4m2 (No. 119)
Symmetry-distinct sites (fractional):
Ta: 0.000 0.000 0.000 [2 per cell]
Zn: 0.000 0.000 0.500 [2 per cell]
Zn: 0.000 0.500 0.250 [2 per cell]
As: 0.000 0.500 0.750 [2 per cell]

Record 6
VASP calculation (PBE) on a relaxed structure of BeTl2CdRu.

Output
E_form (eV per atom): 0.45

Cell: 5.332 5.332 4.304 Å, 90.00 90.00 90.00°
Space group P4/mmm (No. 123)
Symmetry-distinct sites (fractional):
Be: 0.000 0.000 0.000 [1 per cell]
Tl: 0.000 0.500 0.500 [2 per cell]
Cd: 0.500 0.500 0.000 [1 per cell]
Ru: 0.000 0.000 0.500 [1 per cell]

Record 7
VASP calculation (PBE) on a relaxed structure of TbSmDyY.

Output
Offset from the most stable computed form (kcal/mol of atoms): 2.68
E_form (eV per atom): 0.13

Cell: 8.066 8.066 8.066 Å, 90.00 90.00 90.00°
Space group F-43m (No. 216)
Symmetry-distinct sites (fractional):
Tb: 0.000 0.000 0.000 [4 per cell]
Sm: 0.000 0.000 0.500 [4 per cell]
Dy: 0.250 0.250 0.250 [4 per cell]
Y: 0.250 0.250 0.750 [4 per cell]

Record 8
VASP calculation (PBE) on a relaxed structure of Ta3RuO.

Output
Offset from the most stable computed form (kcal/mol of atoms): 0.00
Formation energy without anion corrections (meV/atom): -576

Cell: 4.213 4.213 4.213 Å, 90.00 90.00 90.00°
Space group Pm-3m (No. 221)
Symmetry-distinct sites (fractional):
Ta: 0.000 0.000 0.500 [3 per cell]
Ru: 0.500 0.500 0.500 [1 per cell]
O: 0.000 0.000 0.000 [1 per cell]

Record 9
VASP calculation (PBE) on a relaxed structure of K3Mn2Te4.

Output
Formation energy without anion corrections (meV/atom): -615

Cell: 4.662 8.345 9.548 Å, 65.61 75.88 89.99°
Space group P-1 (No. 2)
Symmetry-distinct sites (fractional):
K: 0.000 0.000 0.000 [1 per cell]
K: 0.128 0.550 0.743 [2 per cell]
Mn: 0.324 0.037 0.350 [2 per cell]
Te: 0.210 0.170 0.580 [2 per cell]
Te: 0.473 0.280 0.054 [2 per cell]

Record 10
VASP calculation (PBE) on a relaxed structure of BeVAg.

Output
Offset from the most stable computed form (kcal/mol of atoms): 1.66
E_form (eV per atom): 0.18

Cell: 9.809 2.876 6.897 Å, 90.00 125.39 90.00°
Space group C2/m (No. 12)
Symmetry-distinct sites (fractional):
Be: 0.112 0.000 0.167 [4 per cell]
V: 0.120 0.500 0.888 [4 per cell]
Ag: 0.158 0.000 0.566 [4 per cell]

Record 11
VASP calculation (PBE) on a relaxed structure of TiNb2Al2.

Output
Offset from the most stable computed form (kcal/mol of atoms): 0.00
E_form (eV per atom): -0.29

Cell: 7.016 7.016 3.483 Å, 90.00 90.00 90.00°
Space group P4/mbm (No. 127)
Symmetry-distinct sites (fractional):
Ti: 0.000 0.000 0.000 [2 per cell]
Nb: 0.173 0.327 0.500 [4 per cell]
Al: 0.126 0.626 0.000 [4 per cell]

Record 12
VASP calculation (PBE) on a relaxed structure of MgOsW2.

Output
E_form (eV per atom): 0.34

Cell: 3.138 4.408 4.534 Å, 90.00 90.00 90.00°
Space group Pmmm (No. 47)
Symmetry-distinct sites (fractional):
Mg: 0.000 0.000 0.000 [1 per cell]
Os: 0.500 0.500 0.000 [1 per cell]
W: 0.000 0.500 0.500 [1 per cell]
W: 0.500 0.000 0.500 [1 per cell]

Record 13
VASP calculation (PBE) on a relaxed structure of NaMgNF2.

Output
Offset from the most stable computed form (kcal/mol of atoms): 0.00
Formation energy without anion corrections (meV/atom): -1558

Cell: 4.014 4.014 4.259 Å, 90.00 90.00 90.00°
Space group P4/mmm (No. 123)
Symmetry-distinct sites (fractional):
Na: 0.000 0.000 0.000 [1 per cell]
Mg: 0.500 0.500 0.500 [1 per cell]
N: 0.500 0.500 0.000 [1 per cell]
F: 0.000 0.500 0.500 [2 per cell]

Record 14
VASP calculation (PBE) on a relaxed structure of Pa2Ge3Pt4.

Output
E_form (eV per atom): -0.69

Cell: 5.564 15.329 8.022 Å, 90.00 90.00 90.00°
Space group Cmce (No. 64)
Symmetry-distinct sites (fractional):
Pa: 0.000 0.120 0.084 [8 per cell]
Ge: 0.000 0.000 0.500 [4 per cell]
Ge: 0.250 0.197 0.750 [8 per cell]
Pt: 0.000 0.194 0.434 [8 per cell]
Pt: 0.250 0.029 0.750 [8 per cell]

Record 15
VASP calculation (PBE) on a relaxed structure of NiPt2Br.

Output
Offset from the most stable computed form (kcal/mol of atoms): 3.33
Formation energy without anion corrections (meV/atom): 433

Cell: 2.861 4.944 9.546 Å, 90.00 90.00 90.00°
Space group Cmm2 (No. 35)
Symmetry-distinct sites (fractional):
Ni: 0.000 0.000 0.000 [2 per cell]
Pt: 0.000 0.000 0.535 [2 per cell]
Pt: 0.000 0.500 0.784 [2 per cell]
Br: 0.000 0.500 0.207 [2 per cell]

Record 16
VASP calculation (PBE) on a relaxed structure of SiHgCl.

Output
Offset from the most stable computed form (kcal/mol of atoms): 7.63
Formation energy without anion corrections (meV/atom): 175

Cell: 3.1750 3.1750 7.9607 Å, 90.00 90.00 120.00°
Space group P3m1 (No. 156)
Symmetry-distinct sites (fractional):
Si: 0.0000 0.0000 0.0000 [1 per cell]
Hg: 0.3333 0.6667 0.6527 [1 per cell]
Cl: 0.6667 0.3333 0.2268 [1 per cell]

Calculated values (Å³ per cell) of volume for the records, taken in order: 74.7 681.1 42.8 67.1 126.4 122.4 524.7 74.8 326.0 158.6 171.5 62.7 68.6 684.2 135.0 69.5.
Calculated values (Bohr magnetons per cell) of magnetization for the records, taken in order: 0.2 0.0 2.3 1.3 0.0 0.0 0.1 0.0 9.0 0.0 0.0 0.0 2.0 0.0 1.4 0.0.